Entry from Alexandria: a relaxed TmGa6Co6 crystal (PBE).

The structure in CIF format:
```
data_TmGa6Co6
_chemical_formula_sum 'Tm1 Ga6 Co6'
_cell_length_a 5.036
_cell_length_b 6.437
_cell_length_c 6.437
_cell_angle_alpha 78.59
_cell_angle_beta 66.97
_cell_angle_gamma 66.97
_space_group_name_H-M_alt 'P 1'
_space_group_IT_number 1
loop_
_space_group_symop_operation_xyz
'x,y,z'
loop_
_atom_site_label
_atom_site_fract_x
_atom_site_fract_y
_atom_site_fract_z
Ga1 0.657 0.343 0.343
Tm1 0.000 0.000 0.000
Ga2 0.343 0.657 0.657
Co1 0.500 0.240 0.760
Co2 0.000 0.500 0.000
Co3 0.500 0.760 0.240
Ga3 0.000 0.340 0.660
Co4 0.000 0.000 0.500
Co5 0.500 0.000 0.500
Ga4 0.000 0.660 0.340
Ga5 0.683 0.817 0.817
Co6 0.500 0.500 0.000
Ga6 0.317 0.183 0.183
```

## Properties
- energy of formation from the pure elements (eV/atom) = -0.33

---

Entry from Alexandria: a relaxed CsAcInSe3 crystal (PBE).

The structure in CIF format:
```
data_CsAcInSe3
_chemical_formula_sum 'Cs2 Ac2 In2 Se6'
_cell_length_a 4.994
_cell_length_b 9.628
_cell_length_c 10.583
_cell_angle_alpha 106.73
_cell_angle_beta 90.00
_cell_angle_gamma 90.00
_space_group_name_H-M_alt 'P 1'
_space_group_IT_number 1
loop_
_space_group_symop_operation_xyz
'x,y,z'
loop_
_atom_site_label
_atom_site_fract_x
_atom_site_fract_y
_atom_site_fract_z
Se1 0.250 0.806 0.465
Se2 0.250 0.118 0.852
Cs1 0.250 0.205 0.232
Se3 0.750 0.882 0.148
Se4 0.750 0.469 0.153
Se5 0.250 0.531 0.847
In1 0.750 0.885 0.406
Cs2 0.750 0.795 0.768
Ac1 0.750 0.331 0.857
In2 0.250 0.115 0.594
Se6 0.750 0.194 0.535
Ac2 0.250 0.669 0.143
```

## Properties
- energy relative to the elements, uncorrected (eV/atom) = -1.2842

---

Entry from Alexandria: a relaxed Li6SiSn2 crystal (PBE).

The structure in CIF format:
```
data_Li6SiSn2
_chemical_formula_sum 'Li6 Si1 Sn2'
_cell_length_a 2.974
_cell_length_b 7.934
_cell_length_c 7.934
_cell_angle_alpha 120.00
_cell_angle_beta 90.00
_cell_angle_gamma 90.00
_space_group_name_H-M_alt 'P 1'
_space_group_IT_number 1
loop_
_space_group_symop_operation_xyz
'x,y,z'
loop_
_atom_site_label
_atom_site_fract_x
_atom_site_fract_y
_atom_site_fract_z
Si1 0.500 0.000 0.000
Li1 0.500 0.000 0.649
Li2 0.500 0.648 0.000
Li3 0.500 0.351 0.351
Sn1 0.000 0.333 0.667
Sn2 0.000 0.667 0.333
Li4 0.000 0.000 0.281
Li5 0.000 0.719 0.719
Li6 0.000 0.281 0.000
```

## Properties
- energy relative to the elements, uncorrected (eV/atom) = -0.2921

---

Entry from Alexandria: a relaxed Na3MgTe3S8 crystal (PBE).

The structure in CIF format:
```
data_Na3MgTe3S8
_chemical_formula_sum 'Na3 Mg1 Te3 S8'
_cell_length_a 7.625
_cell_length_b 7.949
_cell_length_c 8.145
_cell_angle_alpha 118.74
_cell_angle_beta 90.00
_cell_angle_gamma 118.66
_space_group_name_H-M_alt 'P 1'
_space_group_IT_number 1
loop_
_space_group_symop_operation_xyz
'x,y,z'
loop_
_atom_site_label
_atom_site_fract_x
_atom_site_fract_y
_atom_site_fract_z
S1 0.735 0.967 0.707
Te1 0.500 0.500 0.500
S2 0.237 0.474 0.261
S3 0.232 0.463 0.716
S4 0.265 0.033 0.293
S5 0.233 0.967 0.707
Te2 0.500 0.000 0.500
Na1 0.000 0.000 0.000
Te3 0.000 0.500 0.500
S6 0.767 0.033 0.293
Mg1 0.000 0.000 0.500
S7 0.768 0.537 0.284
Na2 0.000 0.500 0.000
Na3 0.500 0.500 0.000
S8 0.763 0.526 0.739
```

## Properties
- energy relative to the elements, uncorrected (eV/atom) = -0.4834

---

Entry from Alexandria: a relaxed CuIr4Pb crystal (PBE).

The structure in CIF format:
```
data_CuIr4Pb
_chemical_formula_sum 'Cu1 Ir4 Pb1'
_cell_length_a 5.281
_cell_length_b 5.281
_cell_length_c 5.281
_cell_angle_alpha 60.00
_cell_angle_beta 60.00
_cell_angle_gamma 60.00
_space_group_name_H-M_alt 'P 1'
_space_group_IT_number 1
loop_
_space_group_symop_operation_xyz
'x,y,z'
loop_
_atom_site_label
_atom_site_fract_x
_atom_site_fract_y
_atom_site_fract_z
Ir1 0.876 0.375 0.375
Cu1 0.000 0.000 0.000
Ir2 0.375 0.375 0.876
Ir3 0.375 0.876 0.375
Ir4 0.375 0.375 0.375
Pb1 0.750 0.750 0.750
```

## Properties
- energy of formation from the pure elements (eV/atom) = 0.57

---

Entry from Alexandria: a relaxed Gd2HfH crystal (PBE).

The structure in CIF format:
```
data_Gd2HfH
_chemical_formula_sum 'Gd2 Hf1 H1'
_cell_length_a 3.254
_cell_length_b 3.254
_cell_length_c 8.079
_cell_angle_alpha 90.00
_cell_angle_beta 90.00
_cell_angle_gamma 90.00
_space_group_name_H-M_alt 'P 1'
_space_group_IT_number 1
loop_
_space_group_symop_operation_xyz
'x,y,z'
loop_
_atom_site_label
_atom_site_fract_x
_atom_site_fract_y
_atom_site_fract_z
H1 0.500 0.500 0.000
Gd1 0.000 0.000 0.206
Gd2 0.000 0.000 0.794
Hf1 0.500 0.500 0.500
```

## Properties
- raw total energy (eV per cell) = -41.11

---

Entry from Alexandria: a relaxed CeTm4Th2 crystal (PBE).

The structure in CIF format:
```
data_CeTm4Th2
_chemical_formula_sum 'Ce1 Tm4 Th2'
_cell_length_a 3.496
_cell_length_b 6.028
_cell_length_c 11.680
_cell_angle_alpha 110.81
_cell_angle_beta 90.00
_cell_angle_gamma 90.00
_space_group_name_H-M_alt 'P 1'
_space_group_IT_number 1
loop_
_space_group_symop_operation_xyz
'x,y,z'
loop_
_atom_site_label
_atom_site_fract_x
_atom_site_fract_y
_atom_site_fract_z
Ce1 0.000 0.000 0.000
Tm1 0.000 0.362 0.780
Th1 0.500 0.000 0.500
Th2 0.000 0.500 0.500
Tm2 0.500 0.165 0.257
Tm3 0.000 0.638 0.220
Tm4 0.500 0.835 0.743
```

## Properties
- energy of formation from the pure elements (eV/atom) = 0.21

---

Entry from Alexandria: a relaxed Cs3PrNp2Se6 crystal (PBE).

The structure in CIF format:
```
data_Cs3PrNp2Se6
_chemical_formula_sum 'Cs3 Pr1 Np2 Se6'
_cell_length_a 7.562
_cell_length_b 7.562
_cell_length_c 8.758
_cell_angle_alpha 98.27
_cell_angle_beta 98.27
_cell_angle_gamma 120.00
_space_group_name_H-M_alt 'P 1'
_space_group_IT_number 1
loop_
_space_group_symop_operation_xyz
'x,y,z'
loop_
_atom_site_label
_atom_site_fract_x
_atom_site_fract_y
_atom_site_fract_z
Se1 0.279 0.279 0.813
Np1 0.333 0.667 0.000
Se2 0.721 0.721 0.187
Cs1 0.500 0.500 0.500
Se3 0.937 0.596 0.812
Se4 0.063 0.404 0.188
Np2 0.667 0.333 0.000
Pr1 0.000 0.000 0.000
Cs2 0.835 0.165 0.500
Se5 0.404 0.063 0.188
Cs3 0.165 0.835 0.500
Se6 0.596 0.937 0.812
```

## Properties
- energy relative to the elements, uncorrected (eV/atom) = -1.3869